1.
Below is BiPSe after structural relaxation, with properties calculated at the PBE level.

```
BiPSe
1.0
5.096 0.001 0.000
0.202 5.101 0.000
0.877 1.814 7.158
Bi P Se
2 2 2
Direct
0.882 0.906 0.866
0.594 0.554 0.237
0.995 0.169 0.123
0.281 0.488 0.981
0.533 0.381 0.740
0.159 0.880 0.366
```

Total magnetization ... 0.00 μB/cell
Mass density ... 5.69 g cm⁻³
Formation energy without anion corrections ... -56 meV per atom
ΔE to the lowest computed polymorph ... 0.00 eV/f.u.
Space-group type ... P1

=====

2.
Below is BiPSe after structural relaxation, with properties calculated at the PBE level.

```
BiPSe
1.0
-1.499 2.593 -2.937
0.385 -5.097 -2.176
-6.985 -0.455 3.821
Bi P Se
2 2 2
Direct
0.618 0.038 0.552
0.901 0.590 0.024
0.234 0.301 0.768
0.200 0.674 0.730
0.562 0.949 0.144
0.862 0.576 0.470
```

Total magnetization ... 0.00 μB/cell
Mass density ... 6.18 g cm⁻³
Formation energy without anion corrections ... -22 meV per atom
ΔE to the lowest computed polymorph ... 0.10 eV/f.u.
Space-group type ... P1

=====

3.
Below is BiPSe after structural relaxation, with properties calculated at the PBE level.

```
BiPSe
1.0
-1.371 -3.025 -2.924
0.976 -1.210 4.143
-15.102 2.658 4.334
Bi P Se
3 3 3
Direct
0.000 0.000 0.236
0.333 0.667 0.903
0.667 0.333 0.570
0.000 0.000 0.824
0.333 0.667 0.490
0.667 0.333 0.157
0.000 0.000 0.682
0.333 0.667 0.349
0.667 0.333 0.015
```

Total magnetization ... 0.00 μB/cell
Mass density ... 5.88 g cm⁻³
Formation energy without anion corrections ... 30 meV per atom
ΔE to the lowest computed polymorph ... 0.26 eV/f.u.
Space-group type ... R3m

=====

4.
Below is Bi3PSe after structural relaxation, with properties calculated at the PBE level.

```
Bi3PSe
1.0
-4.790 0.653 2.434
-2.513 -1.634 -4.507
0.191 -5.118 1.749
P Bi Se
1 3 1
Direct
0.000 0.000 0.000
0.000 0.500 0.000
0.000 0.000 0.500
0.500 0.000 0.000
0.500 0.500 0.500
```

Total magnetization ... 0.00 μB/cell
Mass density ... 7.72 g cm⁻³
Formation energy without anion corrections ... 579 meV per atom
ΔE to the lowest computed polymorph ... 0.00 eV/f.u.
Space-group type ... Pm-3m

=====

5.
Below is Bi2PSe after structural relaxation, with properties calculated at the PBE level.

```
Bi2PSe
1.0
1.785 -1.404 4.625
2.527 3.405 2.928
-2.196 1.849 4.279
P Bi Se
1 2 1
Direct
0.000 0.000 0.000
0.250 0.250 0.250
0.750 0.750 0.750
0.500 0.500 0.500
```

Total magnetization ... 0.00 μB/cell
Mass density ... 9.06 g cm⁻³
Formation energy without anion corrections ... 179 meV per atom
ΔE to the lowest computed polymorph ... 0.88 eV/f.u.
Space-group type ... Fm-3m

=====

6.
Below is Bi2PSe after structural relaxation, with properties calculated at the PBE level.

```
Bi2PSe
1.0
7.327 0.000 0.000
0.000 7.327 0.000
3.663 3.663 4.913
P Bi Se
2 4 2
Direct
0.500 0.500 0.000
0.250 0.750 0.500
0.604 0.125 0.250
0.146 0.625 0.250
0.375 0.396 0.750
0.875 0.854 0.750
0.000 0.000 0.000
0.750 0.250 0.500
```

Total magnetization ... 0.00 μB/cell
Mass density ... 6.65 g cm⁻³
Formation energy without anion corrections ... 121 meV per atom
ΔE to the lowest computed polymorph ... 0.65 eV/f.u.
Space-group type ... I-42d

=====

7.
Below is Bi2P2Se after structural relaxation, with properties calculated at the PBE level.

```
Bi2P2Se
1.0
-1.334 -0.795 3.571
3.477 -1.457 0.974
3.373 6.005 4.721
P Bi Se
2 2 1
Direct
0.750 0.250 0.500
0.250 0.750 0.500
0.391 0.391 0.218
0.609 0.609 0.782
0.000 0.000 0.000
```

Total magnetization ... 0.00 μB/cell
Mass density ... 7.76 g cm⁻³
Formation energy without anion corrections ... 227 meV per atom
Space-group type ... I4/mmm

=====

8.
Below is BiP3Se after structural relaxation, with properties calculated at the PBE level.

```
BiP3Se
1.0
-0.563 -1.607 4.945
-1.034 -4.840 -1.690
5.096 -1.160 0.203
P Bi Se
3 1 1
Direct
0.000 0.500 0.000
0.000 0.000 0.500
0.500 0.000 0.000
0.000 0.000 0.000
0.500 0.500 0.500
```

Total magnetization ... 0.00 μB/cell
Mass density ... 4.42 g cm⁻³
Formation energy without anion corrections ... 1591 meV per atom
ΔE to the lowest computed polymorph ... 3.63 eV/f.u.
Space-group type ... Pm-3m

=====

9.
Below is BiPSe after structural relaxation, with properties calculated at the PBE level.

```
BiPSe
1.0
-1.397 1.351 -4.318
4.273 -1.995 -3.065
-3.518 -5.539 -2.384
Bi P Se
2 2 2
Direct
0.012 0.102 0.472
0.773 0.604 0.955
0.178 0.369 0.137
0.316 0.661 0.281
0.086 0.978 0.914
0.386 0.415 0.554
```

Total magnetization ... 0.00 μB/cell
Mass density ... 5.95 g cm⁻³
Formation energy without anion corrections ... 40 meV per atom
ΔE to the lowest computed polymorph ... 0.29 eV/f.u.
Space-group type ... P1

=====

10.
Below is BiPSe after structural relaxation, with properties calculated at the PBE level.

```
BiPSe
1.0
5.025 -0.002 0.002
1.851 4.819 0.006
2.138 -0.026 6.920
Bi P Se
2 2 2
Direct
0.153 0.240 0.472
0.010 0.746 0.013
0.259 0.237 0.819
0.741 0.022 0.719
0.594 0.452 0.147
0.685 0.742 0.517
```

Total magnetization ... 0.00 μB/cell
Mass density ... 6.32 g cm⁻³
Formation energy without anion corrections ... 8 meV per atom
ΔE to the lowest computed polymorph ... 0.19 eV/f.u.
Space-group type ... P1

=====

11.
Below is BiPSe after structural relaxation, with properties calculated at the PBE level.

```
BiPSe
1.0
4.186 -0.001 0.001
0.165 4.314 0.001
1.731 1.555 4.806
Bi P Se
1 1 1
Direct
0.664 0.809 0.807
0.112 0.205 0.862
0.960 0.291 0.285
```

Total magnetization ... 0.00 μB/cell
Mass density ... 6.10 g cm⁻³
Formation energy without anion corrections ... 66 meV per atom
ΔE to the lowest computed polymorph ... 0.36 eV/f.u.
Space-group type ... P1

=====

12.
Below is Sm6BiP2Se3 after structural relaxation, with properties calculated at the PBE level.

```
Sm6BiP2Se3
1.0
4.198 0.000 0.000
0.000 8.502 0.320
-2.099 -2.432 8.887
Sm Bi P Se
6 1 2 3
Direct
0.326 0.891 0.652
0.673 0.574 0.346
0.674 0.109 0.348
0.010 0.269 0.019
0.990 0.731 0.981
0.327 0.426 0.654
0.500 0.000 0.000
0.831 0.663 0.663
0.169 0.337 0.337
0.500 0.500 0.000
0.838 0.166 0.675
0.162 0.834 0.325
```

Total magnetization ... 0.00 μB/cell
Mass density ... 7.31 g cm⁻³
Formation energy without anion corrections ... -1617 meV per atom
Space-group type ... C2/m

=====

13.
Below is Sm4BiPSe2 after structural relaxation, with properties calculated at the PBE level.

```
Sm4BiPSe2
1.0
4.245 0.000 0.000
0.000 7.323 -0.123
0.000 2.602 7.015
Sm Bi P Se
4 1 1 2
Direct
0.000 0.753 0.727
0.000 0.247 0.273
0.500 0.740 0.271
0.500 0.260 0.729
0.500 0.500 0.000
0.000 0.500 0.500
0.000 0.000 0.000
0.500 0.000 0.500
```

Total magnetization ... 0.00 μB/cell
Mass density ... 7.56 g cm⁻³
Formation energy without anion corrections ... -1529 meV per atom
Space-group type ... P2/m

=====

14.
Below is Sm6BiP3Se2 after structural relaxation, with properties calculated at the PBE level.

```
Sm6BiP3Se2
1.0
4.178 0.000 0.000
0.000 8.485 0.223
-2.089 -2.531 8.862
Sm Bi P Se
6 1 3 2
Direct
0.325 0.925 0.651
0.663 0.594 0.325
0.675 0.075 0.349
0.997 0.270 0.993
0.003 0.730 0.007
0.337 0.406 0.675
0.500 0.000 0.000
0.500 0.500 0.000
0.834 0.169 0.668
0.166 0.831 0.332
0.831 0.664 0.663
0.169 0.336 0.337
```

Total magnetization ... 0.00 μB/cell
Mass density ... 7.15 g cm⁻³
Formation energy without anion corrections ... -1585 meV per atom
Space-group type ... C2/m

=====

15.
Below is SrBiP2Se8 after structural relaxation, with properties calculated at the PBE level.

```
SrBiP2Se8
1.0
6.304 0.000 0.000
-3.152 5.459 0.000
0.000 0.000 9.727
Sr Bi P Se
1 1 2 8
Direct
0.000 0.000 0.000
0.000 0.000 0.500
0.667 0.333 0.238
0.333 0.667 0.762
0.333 0.667 0.989
0.335 0.359 0.297
0.641 0.976 0.297
0.667 0.333 0.011
0.359 0.024 0.703
0.665 0.641 0.703
0.976 0.335 0.703
0.024 0.665 0.297
```

Total magnetization ... 0.00 μB/cell
Mass density ... 4.91 g cm⁻³
Formation energy without anion corrections ... -362 meV per atom
Space-group type ... P-3

=====

16.
Below is Sr6Bi2PSe after structural relaxation, with properties calculated at the PBE level.

```
Sr6Bi2PSe
1.0
-2.048 7.449 0.473
-7.761 -1.918 -3.403
-4.124 -1.756 10.396
Sr Bi P Se
12 4 2 2
Direct
0.315 0.684 0.061
0.815 0.816 0.561
0.685 0.316 0.939
0.185 0.184 0.439
0.325 0.698 0.439
0.825 0.802 0.939
0.675 0.302 0.561
0.175 0.198 0.061
0.876 0.544 0.245
0.376 0.956 0.745
0.124 0.456 0.755
0.624 0.044 0.255
0.039 0.908 0.248
0.539 0.592 0.748
0.961 0.092 0.752
0.461 0.408 0.252
0.500 0.000 0.500
0.000 0.500 0.000
0.500 0.000 0.000
0.000 0.500 0.500
```

Total magnetization ... 1.86 μB/cell
Mass density ... 4.60 g cm⁻³
Formation energy without anion corrections ... -1109 meV per atom
Space-group type ... P2_1/c

=====

17.
Below is Tb6BiP3Se2 after structural relaxation, with properties calculated at the PBE level.

```
Tb6BiP3Se2
1.0
4.100 0.000 0.000
0.000 8.336 0.218
-2.050 -2.487 8.700
Tb Bi P Se
6 1 3 2
Direct
0.325 0.926 0.650
0.663 0.595 0.325
0.675 0.074 0.350
0.996 0.271 0.993
0.004 0.729 0.007
0.337 0.405 0.675
0.500 0.000 0.000
0.500 0.500 0.000
0.834 0.169 0.667
0.166 0.831 0.333
0.831 0.664 0.663
0.169 0.336 0.337
```

Total magnetization ... 0.00 μB/cell
Mass density ... 7.83 g cm⁻³
Formation energy without anion corrections ... -1586 meV per atom
Space-group type ... C2/m

=====

18.
Below is Tb4Bi2PSe after structural relaxation, with properties calculated at the PBE level.

```
Tb4Bi2PSe
1.0
4.250 0.000 0.000
0.000 7.465 -0.190
0.000 2.586 6.900
Tb Bi P Se
4 2 1 1
Direct
0.000 0.727 0.748
0.000 0.273 0.252
0.500 0.722 0.267
0.500 0.278 0.733
0.000 0.000 0.000
0.500 0.000 0.500
0.000 0.500 0.500
0.500 0.500 0.000
```

Total magnetization ... 0.00 μB/cell
Mass density ... 8.74 g cm⁻³
Formation energy without anion corrections ... -1275 meV per atom
Space-group type ... P2/m

=====

19.
Below is TcBiP2Se after structural relaxation, with properties calculated at the PBE level.

```
TcBiP2Se
1.0
-3.742 -2.353 0.914
2.531 -2.365 4.273
-1.435 3.327 2.691
P Bi Se Tc
2 1 1 1
Direct
0.000 0.000 0.500
0.500 0.000 0.000
0.500 0.500 0.500
0.000 0.500 0.000
0.000 0.000 0.000
```

Total magnetization ... 0.00 μB/cell
Mass density ... 6.64 g cm⁻³
Formation energy without anion corrections ... 303 meV per atom
Space-group type ... P4/mmm

=====

20.
Below is Th4BiPSe2 after structural relaxation, with properties calculated at the PBE level.

```
Th4BiPSe2
1.0
-3.039 1.475 2.624
-2.128 -7.162 1.562
5.119 2.077 4.761
Th Bi P Se
4 1 1 2
Direct
0.500 0.281 0.261
0.500 0.719 0.739
0.000 0.278 0.759
0.000 0.722 0.241
0.000 0.000 0.000
0.500 0.500 0.000
0.500 0.000 0.500
0.000 0.500 0.500
```

Total magnetization ... 0.00 μB/cell
Mass density ... 9.79 g cm⁻³
Formation energy without anion corrections ... -1274 meV per atom
Space-group type ... P2/m

=====

21.
Below is Th4Bi2PSe after structural relaxation, with properties calculated at the PBE level.

```
Th4Bi2PSe
1.0
4.330 0.000 0.000
0.000 7.664 -0.206
0.000 2.645 7.116
Th Bi P Se
4 2 1 1
Direct
0.000 0.712 0.751
0.000 0.288 0.249
0.500 0.709 0.273
0.500 0.291 0.727
0.000 0.000 0.000
0.500 0.000 0.500
0.000 0.500 0.500
0.500 0.500 0.000
```

Total magnetization ... 0.00 μB/cell
Mass density ... 10.14 g cm⁻³
Formation energy without anion corrections ... -1073 meV per atom
Space-group type ... P2/m

=====

22.
Below is Tm6BiP3Se2 after structural relaxation, with properties calculated at the PBE level.

```
Tm6BiP3Se2
1.0
4.023 0.000 0.000
0.000 8.184 0.214
-2.011 -2.442 8.538
Tm Bi P Se
6 1 3 2
Direct
0.325 0.928 0.650
0.663 0.595 0.325
0.675 0.072 0.350
0.996 0.272 0.991
0.004 0.728 0.009
0.337 0.405 0.675
0.500 0.000 0.000
0.500 0.500 0.000
0.834 0.169 0.667
0.166 0.831 0.333
0.831 0.664 0.663
0.169 0.336 0.337
```

Total magnetization ... 0.00 μB/cell
Mass density ... 8.64 g cm⁻³
Formation energy without anion corrections ... -1534 meV per atom
Space-group type ... C2/m

=====

23.
Below is Tm6BiP2Se3 after structural relaxation, with properties calculated at the PBE level.

```
Tm6BiP2Se3
1.0
-0.368 3.627 1.756
-7.874 -1.601 1.656
4.403 -4.869 6.318
Tm Bi P Se
6 1 2 3
Direct
0.325 0.887 0.650
0.674 0.573 0.348
0.675 0.113 0.350
0.011 0.271 0.022
0.989 0.729 0.978
0.326 0.427 0.652
0.500 0.000 0.000
0.831 0.661 0.663
0.169 0.339 0.337
0.500 0.500 0.000
0.838 0.166 0.675
0.162 0.834 0.325
```

Total magnetization ... 0.00 μB/cell
Mass density ... 8.79 g cm⁻³
Formation energy without anion corrections ... -1531 meV per atom
Space-group type ... C2/m

=====

24.
Below is Y6BiP3Se2 after structural relaxation, with properties calculated at the PBE level.

```
Y6BiP3Se2
1.0
-1.855 -3.203 -1.740
1.454 -4.541 6.811
-7.103 5.427 2.388
Y Bi P Se
6 1 3 2
Direct
0.325 0.927 0.650
0.663 0.595 0.325
0.675 0.073 0.350
0.996 0.271 0.992
0.004 0.729 0.008
0.337 0.405 0.675
0.500 0.000 0.000
0.500 0.500 0.000
0.834 0.169 0.667
0.166 0.831 0.333
0.831 0.664 0.663
0.169 0.336 0.337
```

Total magnetization ... 0.00 μB/cell
Mass density ... 5.55 g cm⁻³
Formation energy without anion corrections ... -1595 meV per atom
Space-group type ... C2/m